[1]
7
Lattice="6.3834 0.0000 0.0000 0.0000 6.3834 0.0000 0.0000 0.0000 6.3834" Properties=species:S:1:pos:R:3 comment="CeAg6 (PBE, relaxed)" delta_e_f_ev_per_atom=0.87 pbc="T T T"
Ce 0.0000 0.0000 0.0000
Ag 1.2648 3.1917 3.1917
Ag 3.1917 1.2648 3.1917
Ag 3.1917 3.1917 1.2648
Ag 3.1917 3.1917 5.1186
Ag 3.1917 5.1186 3.1917
Ag 5.1186 3.1917 3.1917

***

[2]
5
Lattice="4.2877 0.0000 0.0000 0.0000 4.2877 0.0000 0.0000 0.0000 4.5105" Properties=species:S:1:pos:R:3 comment="NaMnCr2Au (PBE, relaxed)" delta_e_f_ev_per_atom=2.57 pbc="T T T"
Na 0.0000 0.0000 0.0000
Mn 2.1438 2.1438 2.2552
Cr 0.0000 2.1438 0.0000
Cr 2.1438 0.0000 0.0000
Au 0.0000 0.0000 2.2552

***

[3]
10
Lattice="4.2525 0.0000 0.0000 0.0000 4.2525 0.0000 0.0000 0.0000 11.0286" Properties=species:S:1:pos:R:3 comment="Ca2Ga3SbPt4 (PBE, relaxed)" e_form_raw_ev_per_atom=-0.821 pbc="T T T"
Ca 0.0000 2.1262 2.6899
Ca 2.1262 0.0000 8.3387
Ga 0.0000 2.1262 9.5977
Ga 2.1262 0.0000 1.4309
Ga 2.1262 2.1262 5.5143
Sb 0.0000 0.0000 5.5143
Pt 0.0000 0.0000 0.0000
Pt 0.0000 2.1262 7.1252
Pt 2.1262 0.0000 3.9034
Pt 2.1262 2.1262 0.0000